Entry 1:
# Nd8Ir2Au PBE-GGA relaxed
# Total DFT energy (no corrections)   -125.773 eV per cell
# Formation energy   -340 meV/atom
# ρ   8.78 g/cm3
data_Nd8Ir2Au
_space_group_name_H-M_alt 'C 1 2/m 1'
_space_group_IT_number 12
_space_group_name_Hall '-C 2y'
_cell_length_a 8.631
_cell_length_b 13.548
_cell_length_c 5.900
_cell_angle_alpha 90.00
_cell_angle_beta 107.99
_cell_angle_gamma 90.00
loop_
_atom_site_label
_atom_site_fract_x
_atom_site_fract_y
_atom_site_fract_z
Nd1 0.000 0.232 0.000
Nd2 0.121 0.500 0.817
Nd3 0.210 0.125 0.572
Ir1 0.000 0.294 0.500
Au1 0.000 0.000 0.000

Entry 2:
# Nd5IrAu2 PBE-GGA relaxed
# Total DFT energy (no corrections)   -88.386 eV per cell
# Formation energy   -617 meV/atom
# ρ   9.38 g/cm3
data_Nd5IrAu2
_space_group_name_H-M_alt 'P b a m'
_space_group_IT_number 55
_space_group_name_Hall '-P 2 2ab'
_cell_length_a 8.933
_cell_length_b 12.227
_cell_length_c 4.238
_cell_angle_alpha 90.00
_cell_angle_beta 90.00
_cell_angle_gamma 90.00
loop_
_atom_site_label
_atom_site_fract_x
_atom_site_fract_y
_atom_site_fract_z
Nd1 0.000 0.000 0.000
Nd2 0.148 0.298 0.000
Nd3 0.179 0.581 0.500
Ir1 0.000 0.500 0.000
Au1 0.065 0.824 0.500

Entry 3:
# Nd4Ir2Au PBE-GGA relaxed
# Total DFT energy (no corrections)   -178.139 eV per cell
# Formation energy   -638 meV/atom
# ρ   10.49 g/cm3
data_Nd4Ir2Au
_space_group_name_H-M_alt 'C 1 2 1'
_space_group_IT_number 5
_space_group_name_Hall 'C 2y'
_cell_length_a 12.719
_cell_length_b 9.059
_cell_length_c 8.937
_cell_angle_alpha 90.00
_cell_angle_beta 134.60
_cell_angle_gamma 90.00
loop_
_atom_site_label
_atom_site_fract_x
_atom_site_fract_y
_atom_site_fract_z
Nd1 0.067 0.000 0.369
Nd2 0.068 0.370 0.266
Nd3 0.185 0.617 0.737
Nd4 0.185 0.752 0.133
Ir1 0.000 0.064 0.000
Ir2 0.000 0.306 0.500
Ir3 0.121 0.685 0.371
Au1 0.249 0.435 0.125

Entry 4:
# Nd8Ir5Au PBE-GGA relaxed
# Total DFT energy (no corrections)   -189.072 eV per cell
# Formation energy   -629 meV/atom
# ρ   10.71 g/cm3
data_Nd8Ir5Au
_space_group_name_H-M_alt 'I -4'
_space_group_IT_number 82
_space_group_name_Hall 'I -4'
_cell_length_a 8.979
_cell_length_b 8.979
_cell_length_c 8.891
_cell_angle_alpha 90.00
_cell_angle_beta 90.00
_cell_angle_gamma 90.00
loop_
_atom_site_label
_atom_site_fract_x
_atom_site_fract_y
_atom_site_fract_z
Nd1 0.060 0.193 0.320
Nd2 0.066 0.321 0.934
Ir1 0.000 0.500 0.250
Ir2 0.131 0.253 0.627
Au1 0.000 0.000 0.000

Entry 5:
# Nd6Ir3Au PBE-GGA relaxed
# Total DFT energy (no corrections)   -129.173 eV per cell
# Formation energy   -612 meV/atom
# Polymorph energy (0 for the lowest one)   0 meV/atom
# ρ   9.44 g/cm3
data_Nd6Ir3Au
_space_group_name_H-M_alt 'P 1 21/m 1'
_space_group_IT_number 11
_space_group_name_Hall '-P 2yb'
_cell_length_a 11.942
_cell_length_b 4.235
_cell_length_c 12.025
_cell_angle_alpha 90.00
_cell_angle_beta 108.60
_cell_angle_gamma 90.00
loop_
_atom_site_label
_atom_site_fract_x
_atom_site_fract_y
_atom_site_fract_z
Nd1 0.045 0.250 0.407
Nd2 0.110 0.250 0.959
Nd3 0.210 0.750 0.269
Nd4 0.260 0.750 0.774
Nd5 0.377 0.250 0.549
Nd6 0.436 0.750 0.102
Ir1 0.038 0.250 0.172
Ir2 0.201 0.750 0.514
Ir3 0.341 0.250 0.934
Au1 0.429 0.250 0.305

Entry 6:
# Nd3IrAu2 PBE-GGA relaxed
# Total DFT energy (no corrections)   -135.398 eV per cell
# Formation energy   -688 meV/atom
# ρ   10.73 g/cm3
data_Nd3IrAu2
_space_group_name_H-M_alt 'P n m a'
_space_group_IT_number 62
_space_group_name_Hall '-P 2ac 2n'
_cell_length_a 12.480
_cell_length_b 4.567
_cell_length_c 11.065
_cell_angle_alpha 90.00
_cell_angle_beta 90.00
_cell_angle_gamma 90.00
loop_
_atom_site_label
_atom_site_fract_x
_atom_site_fract_y
_atom_site_fract_z
Nd1 0.050 0.250 0.123
Nd2 0.109 0.750 0.557
Nd3 0.245 0.250 0.790
Ir1 0.123 0.250 0.372
Au1 0.008 0.250 0.706
Au2 0.189 0.750 0.008

Entry 7:
# Nd8IrAu2 PBE-GGA relaxed
# Total DFT energy (no corrections)   -116.254 eV per cell
# Formation energy   -415 meV/atom
# Polymorph energy (0 for the lowest one)   0 meV/atom
# ρ   8.89 g/cm3
data_Nd8IrAu2
_space_group_name_H-M_alt 'C 1 2/m 1'
_space_group_IT_number 12
_space_group_name_Hall '-C 2y'
_cell_length_a 18.101
_cell_length_b 5.187
_cell_length_c 7.043
_cell_angle_alpha 90.00
_cell_angle_beta 100.61
_cell_angle_gamma 90.00
loop_
_atom_site_label
_atom_site_fract_x
_atom_site_fract_y
_atom_site_fract_z
Nd1 0.028 0.000 0.284
Nd2 0.087 0.500 0.938
Nd3 0.159 0.500 0.468
Nd4 0.203 0.000 0.826
Ir1 0.000 0.500 0.500
Au1 0.192 0.000 0.240

Entry 8:
# Nd8Ir3Au2 PBE-GGA relaxed
# Total DFT energy (no corrections)   -156.214 eV per cell
# Formation energy   -525 meV/atom
# ρ   9.52 g/cm3
data_Nd8Ir3Au2
_space_group_name_H-M_alt 'C m m m'
_space_group_IT_number 65
_space_group_name_Hall '-C 2 2'
_cell_length_a 10.215
_cell_length_b 14.550
_cell_length_c 4.989
_cell_angle_alpha 90.00
_cell_angle_beta 90.00
_cell_angle_gamma 90.00
loop_
_atom_site_label
_atom_site_fract_x
_atom_site_fract_y
_atom_site_fract_z
Nd1 0.000 0.117 0.000
Nd2 0.000 0.382 0.000
Nd3 0.245 0.382 0.500
Ir1 0.000 0.500 0.500
Ir2 0.243 0.000 0.000
Au1 0.000 0.241 0.500

Entry 9:
# Nd7Ir2Au2 PBE-GGA relaxed
# Total DFT energy (no corrections)   -125.496 eV per cell
# Formation energy   -463 meV/atom
# ρ   9.00 g/cm3
data_Nd7Ir2Au2
_space_group_name_H-M_alt 'C m m m'
_space_group_IT_number 65
_space_group_name_Hall '-C 2 2'
_cell_length_a 8.193
_cell_length_b 11.133
_cell_length_c 7.231
_cell_angle_alpha 90.00
_cell_angle_beta 90.00
_cell_angle_gamma 90.00
loop_
_atom_site_label
_atom_site_fract_x
_atom_site_fract_y
_atom_site_fract_z
Nd1 0.000 0.000 0.000
Nd2 0.000 0.500 0.251
Nd3 0.250 0.250 0.259
Ir1 0.000 0.289 0.000
Au1 0.185 0.000 0.500

Entry 10:
# NdIrAu PBE-GGA relaxed
# Total DFT energy (no corrections)   -69.051 eV per cell
# Formation energy   -119 meV/atom
# ρ   12.33 g/cm3
data_NdIrAu
_space_group_name_H-M_alt 'I m m m'
_space_group_IT_number 71
_space_group_name_Hall '-I 2 2'
_cell_length_a 3.834
_cell_length_b 4.914
_cell_length_c 15.251
_cell_angle_alpha 90.00
_cell_angle_beta 90.00
_cell_angle_gamma 90.00
loop_
_atom_site_label
_atom_site_fract_x
_atom_site_fract_y
_atom_site_fract_z
Nd1 0.000 0.000 0.172
Ir1 0.000 0.250 0.000
Au1 0.000 0.000 0.379

Entry 11:
# NdPaIrAu PBE-GGA relaxed
# Total DFT energy (no corrections)   -113.035 eV per cell
# Formation energy   -464 meV/atom
# ρ   13.88 g/cm3
data_NdPaIrAu
_space_group_name_H-M_alt 'F -4 3 m'
_space_group_IT_number 216
_space_group_name_Hall 'F -4 2 3'
_cell_length_a 7.151
_cell_length_b 7.151
_cell_length_c 7.151
_cell_angle_alpha 90.00
_cell_angle_beta 90.00
_cell_angle_gamma 90.00
loop_
_atom_site_label
_atom_site_fract_x
_atom_site_fract_y
_atom_site_fract_z
Nd1 0.000 0.000 0.000
Pa1 0.000 0.000 0.500
Ir1 0.250 0.250 0.750
Au1 0.250 0.250 0.250

Entry 12:
# PmNdIrAu PBE-GGA relaxed
# Total DFT energy (no corrections)   -49.157 eV per cell
# Formation energy   -730 meV/atom
# Polymorph energy (0 for the lowest one)   0 meV/atom
# ρ   11.44 g/cm3
data_PmNdIrAu
_space_group_name_H-M_alt 'A m m 2'
_space_group_IT_number 38
_space_group_name_Hall 'A 2 -2'
_cell_length_a 4.585
_cell_length_b 3.960
_cell_length_c 10.845
_cell_angle_alpha 90.00
_cell_angle_beta 90.00
_cell_angle_gamma 90.00
loop_
_atom_site_label
_atom_site_fract_x
_atom_site_fract_y
_atom_site_fract_z
Pm1 0.000 0.000 0.000
Nd1 0.500 0.000 0.722
Ir1 0.500 0.000 0.452
Au1 0.000 0.000 0.281

Entry 13:
# PmNdIrAu PBE-GGA relaxed
# Total DFT energy (no corrections)   -97.564 eV per cell
# Formation energy   -684 meV/atom
# Polymorph energy (0 for the lowest one)   47 meV/atom
# ρ   11.92 g/cm3
data_PmNdIrAu
_space_group_name_H-M_alt 'F -4 3 m'
_space_group_IT_number 216
_space_group_name_Hall 'F -4 2 3'
_cell_length_a 7.230
_cell_length_b 7.230
_cell_length_c 7.230
_cell_angle_alpha 90.00
_cell_angle_beta 90.00
_cell_angle_gamma 90.00
loop_
_atom_site_label
_atom_site_fract_x
_atom_site_fract_y
_atom_site_fract_z
Pm1 0.000 0.000 0.000
Nd1 0.000 0.000 0.500
Ir1 0.250 0.250 0.750
Au1 0.250 0.250 0.250

Entry 14:
# PrNdIrAu PBE-GGA relaxed
# Total DFT energy (no corrections)   -97.130 eV per cell
# Formation energy   -649 meV/atom
# Polymorph energy (0 for the lowest one)   55 meV/atom
# ρ   11.59 g/cm3
data_PrNdIrAu
_space_group_name_H-M_alt 'F -4 3 m'
_space_group_IT_number 216
_space_group_name_Hall 'F -4 2 3'
_cell_length_a 7.283
_cell_length_b 7.283
_cell_length_c 7.283
_cell_angle_alpha 90.00
_cell_angle_beta 90.00
_cell_angle_gamma 90.00
loop_
_atom_site_label
_atom_site_fract_x
_atom_site_fract_y
_atom_site_fract_z
Pr1 0.000 0.000 0.000
Nd1 0.000 0.000 0.500
Ir1 0.250 0.250 0.750
Au1 0.250 0.250 0.250

Entry 15:
# PrNdIrAu PBE-GGA relaxed
# Total DFT energy (no corrections)   -49.002 eV per cell
# Formation energy   -704 meV/atom
# Polymorph energy (0 for the lowest one)   0 meV/atom
# ρ   11.14 g/cm3
data_PrNdIrAu
_space_group_name_H-M_alt 'A m m 2'
_space_group_IT_number 38
_space_group_name_Hall 'A 2 -2'
_cell_length_a 4.606
_cell_length_b 3.997
_cell_length_c 10.915
_cell_angle_alpha 90.00
_cell_angle_beta 90.00
_cell_angle_gamma 90.00
loop_
_atom_site_label
_atom_site_fract_x
_atom_site_fract_y
_atom_site_fract_z
Pr1 0.000 0.000 0.000
Nd1 0.500 0.000 0.722
Ir1 0.000 0.000 0.270
Au1 0.500 0.000 0.441

Entry 16:
# NdScIrAu PBE-GGA relaxed
# Total DFT energy (no corrections)   -103.716 eV per cell
# Formation energy   -673 meV/atom
# ρ   11.31 g/cm3
data_NdScIrAu
_space_group_name_H-M_alt 'F -4 3 m'
_space_group_IT_number 216
_space_group_name_Hall 'F -4 2 3'
_cell_length_a 6.978
_cell_length_b 6.978
_cell_length_c 6.978
_cell_angle_alpha 90.00
_cell_angle_beta 90.00
_cell_angle_gamma 90.00
loop_
_atom_site_label
_atom_site_fract_x
_atom_site_fract_y
_atom_site_fract_z
Nd1 0.000 0.000 0.000
Sc1 0.000 0.000 0.500
Ir1 0.250 0.250 0.750
Au1 0.250 0.250 0.250

Entry 17:
# SrNdIrAu PBE-GGA relaxed
# Total DFT energy (no corrections)   -82.368 eV per cell
# Formation energy   -501 meV/atom
# ρ   10.56 g/cm3
data_SrNdIrAu
_space_group_name_H-M_alt 'F -4 3 m'
_space_group_IT_number 216
_space_group_name_Hall 'F -4 2 3'
_cell_length_a 7.309
_cell_length_b 7.309
_cell_length_c 7.309
_cell_angle_alpha 90.00
_cell_angle_beta 90.00
_cell_angle_gamma 90.00
loop_
_atom_site_label
_atom_site_fract_x
_atom_site_fract_y
_atom_site_fract_z
Sr1 0.000 0.000 0.000
Nd1 0.000 0.000 0.500
Ir1 0.250 0.250 0.750
Au1 0.250 0.250 0.250

Entry 18:
# TbNdIrAu PBE-GGA relaxed
# Total DFT energy (no corrections)   -97.784 eV per cell
# Formation energy   -727 meV/atom
# Polymorph energy (0 for the lowest one)   34 meV/atom
# ρ   12.55 g/cm3
data_TbNdIrAu
_space_group_name_H-M_alt 'F -4 3 m'
_space_group_IT_number 216
_space_group_name_Hall 'F -4 2 3'
_cell_length_a 7.156
_cell_length_b 7.156
_cell_length_c 7.156
_cell_angle_alpha 90.00
_cell_angle_beta 90.00
_cell_angle_gamma 90.00
loop_
_atom_site_label
_atom_site_fract_x
_atom_site_fract_y
_atom_site_fract_z
Tb1 0.000 0.000 0.000
Nd1 0.000 0.000 0.500
Ir1 0.250 0.250 0.750
Au1 0.250 0.250 0.250

Entry 19:
# TbNdIrAu PBE-GGA relaxed
# Total DFT energy (no corrections)   -49.162 eV per cell
# Formation energy   -761 meV/atom
# Polymorph energy (0 for the lowest one)   0 meV/atom
# ρ   12.03 g/cm3
data_TbNdIrAu
_space_group_name_H-M_alt 'A m m 2'
_space_group_IT_number 38
_space_group_name_Hall 'A 2 -2'
_cell_length_a 4.581
_cell_length_b 3.890
_cell_length_c 10.721
_cell_angle_alpha 90.00
_cell_angle_beta 90.00
_cell_angle_gamma 90.00
loop_
_atom_site_label
_atom_site_fract_x
_atom_site_fract_y
_atom_site_fract_z
Tb1 0.000 0.000 0.000
Nd1 0.500 0.000 0.279
Ir1 0.500 0.000 0.547
Au1 0.000 0.000 0.718

Entry 20:
# Nd6Te3Ir2Au PBE-GGA relaxed
# Total DFT energy (no corrections)   -143.332 eV per cell
# Formation energy without anion corrections   -1.05 eV/atom
# ρ   8.43 g/cm3
data_Nd6Te3Ir2Au
_space_group_name_H-M_alt 'C 1 2/m 1'
_space_group_IT_number 12
_space_group_name_Hall '-C 2y'
_cell_length_a 7.422
_cell_length_b 12.844
_cell_length_c 7.950
_cell_angle_alpha 90.00
_cell_angle_beta 108.07
_cell_angle_gamma 90.00
loop_
_atom_site_label
_atom_site_fract_x
_atom_site_fract_y
_atom_site_fract_z
Nd1 0.215 0.000 0.211
Nd2 0.250 0.178 0.784
Te1 0.000 0.000 0.500
Te2 0.000 0.340 0.500
Ir1 0.000 0.168 0.000
Au1 0.000 0.500 0.000

Entry 21:
# NdThIrAu PBE-GGA relaxed
# Total DFT energy (no corrections)   -55.416 eV per cell
# Formation energy   -846 meV/atom
# Polymorph energy (0 for the lowest one)   0 meV/atom
# ρ   12.56 g/cm3
data_NdThIrAu
_space_group_name_H-M_alt 'A m m 2'
_space_group_IT_number 38
_space_group_name_Hall 'A 2 -2'
_cell_length_a 4.210
_cell_length_b 3.998
_cell_length_c 12.024
_cell_angle_alpha 90.00
_cell_angle_beta 90.00
_cell_angle_gamma 90.00
loop_
_atom_site_label
_atom_site_fract_x
_atom_site_fract_y
_atom_site_fract_z
Nd1 0.000 0.000 0.000
Th1 0.500 0.000 0.720
Ir1 0.000 0.000 0.247
Au1 0.500 0.000 0.430

Entry 22:
# NdThIrAu PBE-GGA relaxed
# Total DFT energy (no corrections)   -107.747 eV per cell
# Formation energy   -653 meV/atom
# Polymorph energy (0 for the lowest one)   193 meV/atom
# ρ   13.20 g/cm3
data_NdThIrAu
_space_group_name_H-M_alt 'F -4 3 m'
_space_group_IT_number 216
_space_group_name_Hall 'F -4 2 3'
_cell_length_a 7.276
_cell_length_b 7.276
_cell_length_c 7.276
_cell_angle_alpha 90.00
_cell_angle_beta 90.00
_cell_angle_gamma 90.00
loop_
_atom_site_label
_atom_site_fract_x
_atom_site_fract_y
_atom_site_fract_z
Nd1 0.000 0.000 0.000
Th1 0.000 0.000 0.500
Ir1 0.250 0.250 0.250
Au1 0.250 0.250 0.750

Entry 23:
# NdYIrAu PBE-GGA relaxed
# Total DFT energy (no corrections)   -105.102 eV per cell
# Formation energy   -726 meV/atom
# ρ   11.30 g/cm3
data_NdYIrAu
_space_group_name_H-M_alt 'F -4 3 m'
_space_group_IT_number 216
_space_group_name_Hall 'F -4 2 3'
_cell_length_a 7.151
_cell_length_b 7.151
_cell_length_c 7.151
_cell_angle_alpha 90.00
_cell_angle_beta 90.00
_cell_angle_gamma 90.00
loop_
_atom_site_label
_atom_site_fract_x
_atom_site_fract_y
_atom_site_fract_z
Nd1 0.000 0.000 0.000
Y1 0.000 0.000 0.500
Ir1 0.250 0.250 0.250
Au1 0.250 0.250 0.750

Entry 24:
# NdZrIrAu PBE-GGA relaxed
# Total DFT energy (no corrections)   -110.121 eV per cell
# Formation energy   -519 meV/atom
# ρ   12.11 g/cm3
data_NdZrIrAu
_space_group_name_H-M_alt 'F -4 3 m'
_space_group_IT_number 216
_space_group_name_Hall 'F -4 2 3'
_cell_length_a 6.997
_cell_length_b 6.997
_cell_length_c 6.997
_cell_angle_alpha 90.00
_cell_angle_beta 90.00
_cell_angle_gamma 90.00
loop_
_atom_site_label
_atom_site_fract_x
_atom_site_fract_y
_atom_site_fract_z
Nd1 0.000 0.000 0.000
Zr1 0.000 0.000 0.500
Ir1 0.250 0.250 0.750
Au1 0.250 0.250 0.250